# 1
Pr4Mg5Hg2 | PBE | relaxed

Lattice parameters (Å, degrees): 3.556 8.203 10.797 93.68 90.00 90.00
Sites, in units of the cell vectors:
Mg  0.000  0.500  0.000
Mg  0.000  0.436  0.707
Mg  0.000  0.797  0.834
Mg  0.000  0.203  0.166
Mg  0.000  0.564  0.293
Pr  0.500  0.843  0.118
Pr  0.500  0.266  0.448
Pr  0.500  0.734  0.552
Pr  0.500  0.157  0.882
Hg  0.000  0.940  0.359
Hg  0.000  0.060  0.641

## Properties
Spin magnetization in μB/cell: 0.00
Formation energy in eV per formula unit: -1.91
Volume in Å³/f.u.: 314.3
Uncorrected energy in eV per atom: -2.691

***

# 2
Zr2Ir | PBE | relaxed

Lattice parameters (Å, degrees): 8.857 8.857 8.857 60.00 60.00 60.00
Sites, in units of the cell vectors:
Ir  0.277  0.777  0.277
Ir  0.723  0.832  0.723
Ir  0.723  0.223  0.723
Ir  0.723  0.223  0.332
Ir  0.332  0.223  0.723
Ir  0.668  0.777  0.277
Ir  0.277  0.777  0.668
Ir  0.277  0.168  0.277
Zr  0.500  0.000  0.000
Zr  0.938  0.812  0.312
Zr  0.062  0.562  0.688
Zr  0.500  0.500  0.500
Zr  0.938  0.438  0.312
Zr  0.500  0.000  0.500
Zr  0.062  0.188  0.688
Zr  0.312  0.812  0.938
Zr  0.688  0.562  0.062
Zr  0.062  0.188  0.062
Zr  0.688  0.562  0.688
Zr  0.688  0.188  0.062
Zr  0.938  0.812  0.938
Zr  0.312  0.438  0.312
Zr  0.000  0.000  0.500
Zr  0.312  0.438  0.938

## Properties
Spin magnetization in μB/cell: 0.00
Formation energy in eV per formula unit: -1.85
Volume in Å³/f.u.: 61.4
Uncorrected energy in eV per atom: -9.270

***

# 3
CdCNO2 | PBE | relaxed

Lattice parameters (Å, degrees): 4.429 4.429 2.535 90.00 90.00 90.00
Sites, in units of the cell vectors:
C  0.000  0.000  0.000
O  0.500  0.000  0.000
O  0.000  0.500  0.000
N  0.000  0.000  0.500
Cd  0.500  0.500  0.500

## Properties
ΔE_f (raw) in eV per atom: 0.706
Spin magnetization in μB/cell: 1.02
Volume in Å³/f.u.: 49.7
Uncorrected energy in eV per atom: -4.970

***

# 4
Be6SiAu12 | PBE | relaxed

Lattice parameters (Å, degrees): 7.208 7.208 7.208 109.47 109.47 109.47
Sites, in units of the cell vectors:
Au  0.825  0.298  0.122
Au  0.122  0.825  0.298
Au  0.298  0.122  0.825
Au  0.825  0.702  0.527
Au  0.298  0.473  0.175
Au  0.702  0.527  0.825
Au  0.175  0.702  0.878
Au  0.878  0.175  0.702
Au  0.175  0.298  0.473
Au  0.702  0.878  0.175
Au  0.527  0.825  0.702
Au  0.473  0.175  0.298
Si  0.000  0.000  0.000
Be  0.868  0.368  0.500
Be  0.500  0.132  0.632
Be  0.632  0.500  0.132
Be  0.132  0.632  0.500
Be  0.500  0.868  0.368
Be  0.368  0.500  0.868

## Properties
ΔE_f (raw) in eV per atom: -0.006
Spin magnetization in μB/cell: 0.00
Volume in Å³/f.u.: 288.3
Uncorrected energy in eV per atom: -3.538

***

# 5
PmBeTl | PBE | relaxed

Lattice parameters (Å, degrees): 6.519 6.519 6.519 90.00 90.00 90.00
Sites, in units of the cell vectors:
Pm  0.579  0.921  0.079
Pm  0.421  0.421  0.421
Pm  0.079  0.579  0.921
Pm  0.921  0.079  0.579
Be  0.295  0.205  0.795
Be  0.705  0.705  0.705
Be  0.205  0.795  0.295
Be  0.795  0.295  0.205
Tl  0.577  0.423  0.923
Tl  0.923  0.577  0.423
Tl  0.077  0.077  0.077
Tl  0.423  0.923  0.577

## Properties
Energy above the most stable polymorph in this dataset in eV/atom: 0.040
Spin magnetization in μB/cell: 0.00
Formation energy in eV per formula unit: -0.12
Volume in Å³/f.u.: 69.3
Uncorrected energy in eV per atom: -3.655

***

# 6
TbDySe | PBE | relaxed

Lattice parameters (Å, degrees): 3.596 3.596 6.671 105.64 105.64 90.00
Sites, in units of the cell vectors:
Dy  0.978  0.978  0.956
Tb  0.688  0.688  0.376
Se  0.334  0.334  0.668

## Properties
ΔE_f (raw) in eV per atom: -0.957
Energy above the most stable polymorph in this dataset in eV/atom: 0.155
Spin magnetization in μB/cell: 0.00
Volume in Å³/f.u.: 79.7
Uncorrected energy in eV per atom: -5.196

***

# 7
Ac8Te4Ir3F | PBE | relaxed

Lattice parameters (Å, degrees): 8.821 9.454 8.821 117.81 120.00 90.00
Sites, in units of the cell vectors:
Ac  0.736  0.707  0.471
Ac  0.264  0.293  0.529
Ac  0.758  0.289  0.032
Ac  0.726  0.711  0.968
Ac  0.242  0.711  0.484
Ac  0.242  0.711  0.968
Ac  0.274  0.289  0.032
Ac  0.758  0.289  0.516
Ir  0.500  0.500  0.000
Ir  0.500  0.500  0.500
Ir  0.000  0.500  0.500
F  0.000  0.500  0.000
Te  0.000  0.000  0.000
Te  0.000  0.000  0.500
Te  0.500  0.000  0.000
Te  0.500  0.000  0.500

## Properties
ΔE_f (raw) in eV per atom: -1.328
Spin magnetization in μB/cell: 0.00
Volume in Å³/f.u.: 536.7
Uncorrected energy in eV per atom: -5.946

***

# 8
AcHgIr | PBE | relaxed

Lattice parameters (Å, degrees): 4.932 4.932 4.932 60.00 60.00 60.00
Sites, in units of the cell vectors:
Ac  0.500  0.500  0.500
Ir  0.250  0.250  0.250
Hg  0.000  0.000  0.000

## Properties
Energy above the most stable polymorph in this dataset in eV/atom: 0.196
Spin magnetization in μB/cell: 0.00
Formation energy in eV per formula unit: -1.01
Volume in Å³/f.u.: 84.8
Uncorrected energy in eV per atom: -4.759

***

# 9
K2MgAlCd | PBE | relaxed

Lattice parameters (Å, degrees): 6.576 5.340 6.576 90.00 90.00 90.00
Sites, in units of the cell vectors:
Mg  0.000  0.000  0.000
K  0.500  0.000  0.000
K  0.000  0.000  0.500
Cd  0.000  0.500  0.000
Al  0.500  0.500  0.500

## Properties
Spin magnetization in μB/cell: 0.00
Formation energy in eV per formula unit: 2.82
Volume in Å³/f.u.: 230.9
Uncorrected energy in eV per atom: -1.125

***

# 10
UCoRe | PBE | relaxed

Lattice parameters (Å, degrees): 2.764 4.447 4.447 120.00 90.00 90.00
Sites, in units of the cell vectors:
Re  0.300  0.333  0.667
Co  0.736  0.667  0.333
U  0.964  0.000  0.000

## Properties
Energy above the most stable polymorph in this dataset in eV/atom: 0.136
Spin magnetization in μB/cell: 0.00
Formation energy in eV per formula unit: 0.79
Volume in Å³/f.u.: 47.3
Uncorrected energy in eV per atom: -10.016

***

# 11
NdAlO3 | PBE | relaxed

Lattice parameters (Å, degrees): 5.332 5.332 5.332 60.60 60.60 60.60
Sites, in units of the cell vectors:
O  0.803  0.697  0.250
O  0.250  0.803  0.697
O  0.303  0.750  0.197
O  0.197  0.303  0.750
O  0.697  0.250  0.803
O  0.750  0.197  0.303
Nd  0.750  0.750  0.750
Nd  0.250  0.250  0.250
Al  0.000  0.000  0.000
Al  0.500  0.500  0.500

## Properties
ΔE_f (raw) in eV per atom: -3.254
Spin magnetization in μB/cell: 0.00
Volume in Å³/f.u.: 54.3
Uncorrected energy in eV per atom: -7.931

***

# 12
LaAl2Cu3 | PBE | relaxed

Lattice parameters (Å, degrees): 5.282 6.405 6.405 101.67 90.00 90.00
Sites, in units of the cell vectors:
Cu  0.750  0.094  0.462
Cu  0.750  0.462  0.094
Cu  0.250  0.538  0.906
Cu  0.250  0.930  0.930
Cu  0.250  0.906  0.538
Cu  0.750  0.070  0.070
Al  0.000  0.792  0.208
Al  0.000  0.208  0.792
Al  0.500  0.792  0.208
Al  0.500  0.208  0.792
La  0.250  0.313  0.313
La  0.750  0.687  0.687

## Properties
Spin magnetization in μB/cell: 0.00
Formation energy in eV per formula unit: -2.14
Volume in Å³/f.u.: 106.1
Uncorrected energy in eV per atom: -4.474